Entry from Alexandria: ScCuN2O after structural relaxation (PBE).

Calculated values
total moment = 4.00 μB/cell
electronic total energy = -0.42896 Ry/atom

```
data_ScCuN2O
_chemical_formula_sum 'Sc1 Cu1 N2 O1'
_cell_length_a 4.2520
_cell_length_b 4.2520
_cell_length_c 3.9912
_cell_angle_alpha 90.00
_cell_angle_beta 90.00
_cell_angle_gamma 90.00
_space_group_name_H-M_alt 'P 1'
_space_group_IT_number 1
loop_
_space_group_symop_operation_xyz
'x,y,z'
loop_
_atom_site_label
_atom_site_type_symbol
_atom_site_fract_x
_atom_site_fract_y
_atom_site_fract_z
Sc1 Sc 0.0000 0.0000 0.0000
O1 O 0.0000 0.0000 0.5000
Cu1 Cu 0.5000 0.5000 0.5000
N1 N 0.0000 0.5000 0.0000
N2 N 0.5000 0.0000 0.0000
```